Compound: KBaLi2
Source: Alexandria
Functional: PBE-GGA
Structure: optimized geometry

Cell lengths 7.212, 7.212, 7.212 Å; angles 136.74, 136.74, 62.84 degrees
Positions (direct):
Li1 0.250 0.750 0.500
Li2 0.000 0.000 0.000
Ba1 0.500 0.500 0.000
K1 0.750 0.250 0.500

Fermi-level density of states: 0.93 states/eV per atom
Total magnetic moment: 0.00 μB per cell
Crystal system: tetragonal
E_form: 0.1802 eV per atom
Symmetry: I-4m2 (119)
Distance to the lowest polymorph of the same formula: 0.079 eV per atom